A relaxed structure of Sr2Mo3O10, computed with PBE+U.

```
Sr2Mo3O10
1.0
5.822 0.000 -1.895
-0.949 7.068 -2.917
-0.032 0.011 9.792
O Mo Sr
20 6 4
Cartesian
4.844 3.393 -0.300 O
2.847 1.307 -1.142 O
-0.004 3.687 5.281 O
2.025 0.223 1.351 O
4.816 1.744 4.908 O
3.778 5.026 1.718 O
0.755 3.534 -1.859 O
1.993 5.772 6.123 O
3.111 3.687 4.267 O
4.878 5.702 5.098 O
1.729 3.393 0.714 O
4.117 3.534 -2.953 O
2.895 0.006 3.949 O
1.062 2.053 3.263 O
0.024 5.336 0.073 O
-0.140 6.856 4.592 O
2.816 6.856 3.630 O
-0.016 0.006 4.896 O
-0.038 1.377 -0.117 O
4.980 0.223 0.389 O
1.487 0.000 -0.484 Mo
4.335 0.000 -1.411 Mo
3.801 6.813 1.789 Mo
1.039 0.266 3.192 Mo
4.815 3.652 4.903 Mo
0.025 3.428 0.078 Mo
3.764 2.279 1.675 Sr
2.813 5.075 -1.248 Sr
1.076 4.800 3.306 Sr
2.027 2.004 6.229 Sr
```

Calculated values
Density = 5.1 g cm⁻³
Uncorrected energy = -210.08 eV per cell